*w*
Crystalline P2NCl at its relaxed geometry. Source: Alexandria, functional PBE.

**V**: 13.5 Å³ per atom
**Calculated density**: 3421 kg/m3

Structure (CIF):
```
data_P2NCl
_cell_length_a 6.003
_cell_length_b 6.003
_cell_length_c 6.003
_cell_angle_alpha 90.00
_cell_angle_beta 90.00
_cell_angle_gamma 90.00
_symmetry_space_group_name_H-M 'F m -3 m'
_symmetry_Int_Tables_number 225
_symmetry_space_group_name_Hall '-F 4 2 3'
loop_
_atom_site_label
_atom_site_fract_x
_atom_site_fract_y
_atom_site_fract_z
_atom_site_occupancy
P1 0.250 0.250 0.250 1
N1 0.000 0.000 0.000 1
Cl1 0.000 0.000 0.500 1
```



*x*
Crystalline P2NCl at its relaxed geometry. Source: Alexandria, functional PBE.

**V**: 16.0 Å³ per atom
**Calculated density**: 2894 kg/m3

Structure (CIF):
```
data_P2NCl
_cell_length_a 4.512
_cell_length_b 4.512
_cell_length_c 12.558
_cell_angle_alpha 90.00
_cell_angle_beta 90.00
_cell_angle_gamma 90.00
_symmetry_space_group_name_H-M 'I -4 2 d'
_symmetry_Int_Tables_number 122
_symmetry_space_group_name_Hall 'I -4 2bw'
loop_
_atom_site_label
_atom_site_fract_x
_atom_site_fract_y
_atom_site_fract_z
_atom_site_occupancy
P1 0.049 0.250 0.125 1
N1 0.000 0.000 0.000 1
Cl1 0.000 0.000 0.500 1
```



Need the numbers? Relative energies in eV/atom: *w* 1.026; *x* 0.000.